No. 1
Crystalline SnHCF2 at its relaxed geometry, computed with PBE.

The structure belongs to space group P4/mmm (No. 123); the cell edges are 3.293, 3.293 and 4.862 Å and the angles 90.00°, 90.00° and 90.00°. The distinct sites, in fractional coordinates, are Sn at (0.000, 0.000, 0.000), H at (0.000, 0.000, 0.500), C at (0.500, 0.500, 0.000) and F at (0.000, 0.500, 0.500).

The total energy is -3.721 eV/atom.



No. 2
Crystalline LaTe2SeN at its relaxed geometry, computed with PBE.

The structure belongs to space group P4/mmm (No. 123); the cell edges are 5.687, 5.687 and 3.933 Å and the angles 90.00°, 90.00° and 90.00°. The distinct sites, in fractional coordinates, are La at (0.000, 0.000, 0.000), Te at (0.000, 0.500, 0.500), Se at (0.500, 0.500, 0.500) and N at (0.500, 0.500, 0.000).

For the energy relative to the lowest polymorph listed for this composition, the calculation gives 0 meV per atom. For the formation energy without anion corrections, the calculation gives 84 meV per atom.



No. 3
Crystalline Y3HoF at its relaxed geometry, computed with PBE.

The structure belongs to space group Pm-3m (No. 221); the cell edges are 5.056, 5.056 and 5.056 Å and the angles 90.00°, 90.00° and 90.00°. The distinct sites, in fractional coordinates, are Y at (0.000, 0.000, 0.500), Ho at (0.500, 0.500, 0.500) and F at (0.000, 0.000, 0.000).

For the formation energy without anion corrections, the calculation gives -914 meV per atom.



No. 4
Crystalline Li2TcBr at its relaxed geometry, computed with PBE.

The structure belongs to space group R3m (No. 160, hexagonal axes); the cell edges are 3.0606, 3.0606 and 26.3940 Å and the angles 90.00°, 90.00° and 120.00°. The distinct sites, in fractional coordinates, are Li at (0.0000, 0.0000, 0.0000), Li at (0.0000, 0.0000, 0.2353), Tc at (0.0000, 0.0000, 0.7498) and Br at (0.0000, 0.0000, 0.4908).

For the energy relative to the lowest polymorph listed for this composition, the calculation gives 226 meV per atom. For the formation energy without anion corrections, the calculation gives 305 meV per atom.



No. 5
Crystalline CeSe2I at its relaxed geometry, computed with PBE.

The structure belongs to space group R-3m (No. 166, hexagonal axes); the cell edges are 4.2114, 4.2114 and 29.9680 Å and the angles 90.00°, 90.00° and 120.00°. The distinct sites, in fractional coordinates, are Ce at (0.0000, 0.0000, 0.0000), Se at (0.0000, 0.0000, 0.2834) and I at (0.0000, 0.0000, 0.5000).

For the formation energy without anion corrections, the calculation gives -945 meV per atom.



No. 6
Crystalline PmLuPdAu at its relaxed geometry, computed with PBE.

The structure belongs to space group F-43m (No. 216); the cell edges are 7.141, 7.141 and 7.141 Å and the angles 90.00°, 90.00° and 90.00°. The distinct sites, in fractional coordinates, are Pm at (0.000, 0.000, 0.000), Lu at (0.000, 0.000, 0.500), Pd at (0.250, 0.250, 0.250) and Au at (0.250, 0.250, 0.750).

The value obtained for the formation energy is -0.834 eV/atom.



No. 7
Crystalline Pm12SmEr6 at its relaxed geometry, computed with PBE.

The structure belongs to space group R-3 (No. 148, hexagonal axes); the cell edges are 14.7784, 14.7784 and 10.4442 Å and the angles 90.00°, 90.00° and 120.00°. The distinct sites, in fractional coordinates, are Pm at (0.0558, 0.2532, 0.0814), Pm at (0.0636, 0.2244, 0.4177), Sm at (0.0000, 0.0000, 0.0000) and Er at (0.0515, 0.2180, 0.7591).

For the energy relative to the lowest polymorph listed for this composition, the calculation gives 103 meV per atom. The value obtained for the formation energy is 0.239 eV/atom.



No. 8
Crystalline TcIrOs2 at its relaxed geometry, computed with PBE.

The structure belongs to space group P4/mmm (No. 123); the cell edges are 2.728, 2.728 and 7.751 Å and the angles 90.00°, 90.00° and 90.00°. The distinct sites, in fractional coordinates, are Tc at (0.000, 0.000, 0.000), Ir at (0.000, 0.000, 0.500) and Os at (0.500, 0.500, 0.249).

For the energy relative to the lowest polymorph listed for this composition, the calculation gives 53 meV per atom. The value obtained for the formation energy is 0.040 eV/atom.



No. 9
Crystalline Co4IrPb at its relaxed geometry, computed with PBE.

The structure belongs to space group F-43m (No. 216); the cell edges are 6.883, 6.883 and 6.883 Å and the angles 90.00°, 90.00° and 90.00°. The distinct sites, in fractional coordinates, are Co at (0.124, 0.124, 0.124), Ir at (0.250, 0.250, 0.750) and Pb at (0.000, 0.000, 0.500).

The value obtained for the formation energy is 0.361 eV/atom.



No. 10
Crystalline CaCd6 at its relaxed geometry, computed with PBE.

The structure belongs to space group Pm-3m (No. 221); the cell edges are 6.881, 6.881 and 6.881 Å and the angles 90.00°, 90.00° and 90.00°. The distinct sites, in fractional coordinates, are Ca at (0.000, 0.000, 0.000) and Cd at (0.195, 0.500, 0.500).

For the energy relative to the lowest polymorph listed for this composition, the calculation gives 610 meV per atom. The value obtained for the formation energy is 0.446 eV/atom.



No. 11
Crystalline TbHCN2 at its relaxed geometry, computed with PBE.

The structure belongs to space group Cmcm (No. 63); the cell edges are 3.515, 9.480 and 7.221 Å and the angles 90.00°, 90.00° and 90.00°. The distinct sites, in fractional coordinates, are Tb at (0.000, 0.231, 0.250), H at (0.000, 0.133, 0.750), C at (0.000, 0.500, 0.000) and N at (0.000, 0.375, 0.546).

The total energy is -7.467 eV/atom.



No. 12
Crystalline Sr2HI2O2 at its relaxed geometry, computed with PBE.

The structure belongs to space group C2/m (No. 12); the cell edges are 9.285, 3.975 and 11.243 Å and the angles 90.00°, 93.95° and 90.00°. The distinct sites, in fractional coordinates, are Sr at (0.185, 0.000, 0.365), H at (0.000, 0.500, 0.500), I at (0.126, 0.000, 0.822) and O at (0.124, 0.500, 0.473).

The total energy is -4.509 eV/atom.